Entry 1:
A plane-wave DFT calculation with PBE was carried out for a relaxed structure of GeIF3.

Total magnetic moment, μB per formula unit: 0.0
Density, g/cm³: 4.01
Formation energy from raw total energies, kJ/mol of atoms: -37.63
Offset from the most stable computed form, eV per atom: 1.458
Calculated volume, Å³/atom: 21.24
E, eV/atom: -2.7463

a b c (Å): 4.736 4.736 4.736
angles (deg): 90.00 90.00 90.00
Element x y z (fractional)
Ge: 0.500 0.500 0.500
F: 0.500 0.000 0.000
F: 0.000 0.000 0.500
I: 0.000 0.000 0.000
F: 0.000 0.500 0.000


Entry 2:
A plane-wave DFT calculation with PBE was carried out for a relaxed structure of GeI3F.

Total magnetic moment, μB per formula unit: 0.0
Density, g/cm³: 5.21
Formation energy from raw total energies, kJ/mol of atoms: 31.81
Offset from the most stable computed form, eV per atom: 0.286
Calculated volume, Å³/atom: 30.09
E, eV/atom: -1.8981

a b c (Å): 5.318 5.318 5.318
angles (deg): 90.00 90.00 90.00
Element x y z (fractional)
I: 0.000 0.500 0.000
Ge: 0.500 0.500 0.500
I: 0.000 0.000 0.500
I: 0.500 0.000 0.000
F: 0.000 0.000 0.000


Entry 3:
A plane-wave DFT calculation with PBE was carried out for a relaxed structure of Ge2IF.

Total magnetic moment, μB per formula unit: 0.0
Density, g/cm³: 4.80
Formation energy from raw total energies, kJ/mol of atoms: -41.17
Offset from the most stable computed form, eV per atom: 0.000
Calculated volume, Å³/atom: 25.21
E, eV/atom: -3.5907

a b c (Å): 4.951 4.951 8.939
angles (deg): 73.92 73.92 90.00
Element x y z (fractional)
F: 0.500 0.500 0.000
Ge: 0.269 0.625 0.250
Ge: 0.375 0.519 0.750
I: 0.000 0.000 0.000
Ge: 0.481 0.125 0.250
Ge: 0.875 0.731 0.750
I: 0.750 0.250 0.500
F: 0.250 0.750 0.500


Entry 4:
A plane-wave DFT calculation with PBE was carried out for a relaxed structure of Ge2IF.

Total magnetic moment, μB per formula unit: 0.0
Density, g/cm³: 5.60
Formation energy from raw total energies, kJ/mol of atoms: -3.37
Offset from the most stable computed form, eV per atom: 0.392
Calculated volume, Å³/atom: 21.59
E, eV/atom: -3.1990

a b c (Å): 4.961 4.961 4.961
angles (deg): 60.00 60.00 60.00
Element x y z (fractional)
I: 0.500 0.500 0.500
F: 0.000 0.000 0.000
Ge: 0.250 0.250 0.250
Ge: 0.750 0.750 0.750


Entry 5:
A plane-wave DFT calculation with PBE was carried out for a relaxed structure of GeIF3.

Total magnetic moment, μB per formula unit: 0.0
Density, g/cm³: 2.92
Formation energy from raw total energies, kJ/mol of atoms: -178.28
Offset from the most stable computed form, eV per atom: 0.000
Calculated volume, Å³/atom: 29.22
E, eV/atom: -4.2040

a b c (Å): 5.401 6.596 8.204
angles (deg): 89.93 89.99 90.18
Element x y z (fractional)
F: 0.959 0.627 0.367
Ge: 0.775 0.691 0.201
F: 0.543 0.508 0.201
F: 0.042 0.843 0.701
F: 0.459 0.727 0.867
I: 0.143 0.304 0.701
F: 0.459 0.728 0.535
Ge: 0.275 0.661 0.701
F: 0.959 0.626 0.035
I: 0.643 0.048 0.200


Entry 6:
A plane-wave DFT calculation with PBE was carried out for a relaxed structure of GeIF3.

Total magnetic moment, μB per formula unit: 1.7
Density, g/cm³: 4.94
Formation energy from raw total energies, kJ/mol of atoms: -115.01
Offset from the most stable computed form, eV per atom: 0.656
Calculated volume, Å³/atom: 17.26
E, eV/atom: -3.5483

a b c (Å): 4.419 4.419 4.419
angles (deg): 90.00 90.00 90.00
Element x y z (fractional)
I: 0.500 0.500 0.500
Ge: 0.000 0.000 0.000
F: 0.500 0.000 0.000
F: 0.000 0.500 0.000
F: 0.000 0.000 0.500